1.
# TiPdPt3 (GGA-PBEsol, optimized geometry)
# Size of the total moment   0.8 μB/f.u.
# Symmetry   No. 221
# Calculated formation energy   6.57 eV per formula unit
data_TiPdPt3
_chemical_formula_sum 'Ti1 Pd1 Pt3'
_symmetry_space_group_name_H-M 'P 1'
_symmetry_Int_Tables_number 1
_symmetry_space_group_name_Hall 'P 1'
_cell_length_a 4.7065
_cell_length_b 4.7065
_cell_length_c 4.7065
_cell_angle_alpha 90.00
_cell_angle_beta 90.00
_cell_angle_gamma 90.00
loop_
_atom_site_label
_atom_site_type_symbol
_atom_site_fract_x
_atom_site_fract_y
_atom_site_fract_z
Ti1 Ti 0.0000 0.0000 0.0000
Pd1 Pd 0.5000 0.5000 0.5000
Pt1 Pt 0.0000 0.5000 0.5000
Pt2 Pt 0.5000 0.0000 0.5000
Pt3 Pt 0.5000 0.5000 0.0000

***

2.
# Ba2OsBr (GGA-PBEsol, optimized geometry)
# Size of the total moment   0.0 μB/f.u.
# Symmetry   No. 123
# Polymorph energy (0 for the lowest one)   0 meV per atom
data_Ba2OsBr
_chemical_formula_sum 'Ba2 Os1 Br1'
_symmetry_space_group_name_H-M 'P 1'
_symmetry_Int_Tables_number 1
_symmetry_space_group_name_Hall 'P 1'
_cell_length_a 3.6889
_cell_length_b 3.6889
_cell_length_c 8.4843
_cell_angle_alpha 90.00
_cell_angle_beta 90.00
_cell_angle_gamma 90.00
loop_
_atom_site_label
_atom_site_type_symbol
_atom_site_fract_x
_atom_site_fract_y
_atom_site_fract_z
Ba1 Ba 0.0000 0.0000 0.2223
Ba2 Ba 0.0000 0.0000 0.7777
Os1 Os 0.5000 0.5000 0.0000
Br1 Br 0.5000 0.5000 0.5000

***

3.
# CaNiSb2 (GGA-PBEsol, optimized geometry)
# Final energy   -4.81 eV per atom
# Size of the total moment   0.0 μB/f.u.
# Symmetry   No. 166
data_CaNiSb2
_chemical_formula_sum 'Ca3 Ni3 Sb6'
_symmetry_space_group_name_H-M 'P 1'
_symmetry_Int_Tables_number 1
_symmetry_space_group_name_Hall 'P 1'
_cell_length_a 4.0404
_cell_length_b 4.0404
_cell_length_c 19.4860
_cell_angle_alpha 90.00
_cell_angle_beta 90.00
_cell_angle_gamma 120.00
loop_
_atom_site_label
_atom_site_type_symbol
_atom_site_fract_x
_atom_site_fract_y
_atom_site_fract_z
Ca1 Ca 0.0000 0.0000 0.0000
Ca2 Ca 0.3333 0.6667 0.6667
Ca3 Ca 0.6667 0.3333 0.3333
Ni1 Ni 0.0000 0.0000 0.5000
Ni2 Ni 0.3333 0.6667 0.1667
Ni3 Ni 0.6667 0.3333 0.8333
Sb1 Sb 0.0000 0.0000 0.2246
Sb2 Sb 0.0000 0.0000 0.7754
Sb3 Sb 0.3333 0.6667 0.4421
Sb4 Sb 0.3333 0.6667 0.8913
Sb5 Sb 0.6667 0.3333 0.1087
Sb6 Sb 0.6667 0.3333 0.5579

***

4.
# CrTePt2 (GGA-PBEsol, optimized geometry)
# Final energy   -6.79 eV per atom
# Size of the total moment   3.5 μB/f.u.
# Symmetry   No. 99
data_CrTePt2
_chemical_formula_sum 'Cr1 Te1 Pt2'
_symmetry_space_group_name_H-M 'P 1'
_symmetry_Int_Tables_number 1
_symmetry_space_group_name_Hall 'P 1'
_cell_length_a 3.5152
_cell_length_b 3.5152
_cell_length_c 5.4843
_cell_angle_alpha 90.00
_cell_angle_beta 90.00
_cell_angle_gamma 90.00
loop_
_atom_site_label
_atom_site_type_symbol
_atom_site_fract_x
_atom_site_fract_y
_atom_site_fract_z
Cr1 Cr 0.0000 0.0000 0.0000
Te1 Te 0.5000 0.5000 0.7104
Pt1 Pt 0.0000 0.0000 0.4667
Pt2 Pt 0.5000 0.5000 0.2069

***

5.
# K2BaMo (GGA-PBEsol, optimized geometry)
# Size of the total moment   3.7 μB/f.u.
# Symmetry   No. 65
# Calculated formation energy   5.41 eV per formula unit
# Polymorph energy (0 for the lowest one)   119 meV per atom
data_K2BaMo
_chemical_formula_sum 'K4 Ba2 Mo2'
_symmetry_space_group_name_H-M 'P 1'
_symmetry_Int_Tables_number 1
_symmetry_space_group_name_Hall 'P 1'
_cell_length_a 7.0039
_cell_length_b 13.1291
_cell_length_c 3.6975
_cell_angle_alpha 90.00
_cell_angle_beta 90.00
_cell_angle_gamma 90.00
loop_
_atom_site_label
_atom_site_type_symbol
_atom_site_fract_x
_atom_site_fract_y
_atom_site_fract_z
K1 K 0.2500 0.2500 0.0000
K2 K 0.2500 0.7500 0.0000
K3 K 0.7500 0.2500 0.0000
K4 K 0.7500 0.7500 0.0000
Ba1 Ba 0.0000 0.0000 0.5000
Ba2 Ba 0.5000 0.5000 0.5000
Mo1 Mo 0.0000 0.5000 0.5000
Mo2 Mo 0.5000 0.0000 0.5000

***

6.
# Be3As2H4O10 (GGA-PBEsol, optimized geometry)
# Final energy   -6.28 eV per atom
# Size of the total moment   0.0 μB/f.u.
# Symmetry   No. 15
data_Be3As2H4O10
_chemical_formula_sum 'Be6 As4 H8 O20'
_symmetry_space_group_name_H-M 'P 1'
_symmetry_Int_Tables_number 1
_symmetry_space_group_name_Hall 'P 1'
_cell_length_a 8.5282
_cell_length_b 8.5282
_cell_length_c 9.9272
_cell_angle_alpha 93.52
_cell_angle_beta 93.52
_cell_angle_gamma 31.64
loop_
_atom_site_label
_atom_site_type_symbol
_atom_site_fract_x
_atom_site_fract_y
_atom_site_fract_z
Be1 Be 0.1895 0.8105 0.7500
Be2 Be 0.1961 0.2972 0.1610
Be3 Be 0.2972 0.1961 0.6610
Be4 Be 0.7028 0.8039 0.3390
Be5 Be 0.8039 0.7028 0.8390
Be6 Be 0.8105 0.1895 0.2500
As1 As 0.1073 0.2002 0.4018
As2 As 0.2002 0.1073 0.9018
As3 As 0.7998 0.8927 0.0982
As4 As 0.8927 0.7998 0.5982
H1 H 0.2229 0.5844 0.8921
H2 H 0.3359 0.5331 0.3060
H3 H 0.4156 0.7771 0.6079
H4 H 0.4669 0.6641 0.1940
H5 H 0.5331 0.3359 0.8060
H6 H 0.5844 0.2229 0.3921
H7 H 0.6641 0.4669 0.6940
H8 H 0.7771 0.4156 0.1079
O1 O 0.0273 0.0918 0.8338
O2 O 0.0782 0.2497 0.0618
O3 O 0.0918 0.0273 0.3338
O4 O 0.1058 0.3417 0.7998
O5 O 0.2225 0.4225 0.5978
O6 O 0.2497 0.0782 0.5618
O7 O 0.3417 0.1058 0.2998
O8 O 0.3611 0.5395 0.8454
O9 O 0.4225 0.2225 0.0978
O10 O 0.4605 0.6389 0.6546
O11 O 0.5395 0.3611 0.3454
O12 O 0.5775 0.7775 0.9022
O13 O 0.6389 0.4605 0.1546
O14 O 0.6583 0.8942 0.7002
O15 O 0.7503 0.9218 0.4382
O16 O 0.7775 0.5775 0.4022
O17 O 0.8942 0.6583 0.2002
O18 O 0.9082 0.9727 0.6662
O19 O 0.9218 0.7503 0.9382
O20 O 0.9727 0.9082 0.1662

***

7.
# ZnSi2Ag (GGA-PBEsol, optimized geometry)
# Final energy   -3.70 eV per atom
# Size of the total moment   0.0 μB/f.u.
# Symmetry   No. 122
data_ZnSi2Ag
_chemical_formula_sum 'Zn4 Si8 Ag4'
_symmetry_space_group_name_H-M 'P 1'
_symmetry_Int_Tables_number 1
_symmetry_space_group_name_Hall 'P 1'
_cell_length_a 7.1871
_cell_length_b 7.1871
_cell_length_c 5.1235
_cell_angle_alpha 90.00
_cell_angle_beta 90.00
_cell_angle_gamma 90.00
loop_
_atom_site_label
_atom_site_type_symbol
_atom_site_fract_x
_atom_site_fract_y
_atom_site_fract_z
Zn1 Zn 0.0000 0.0000 0.0000
Zn2 Zn 0.0000 0.5000 0.2500
Zn3 Zn 0.5000 0.0000 0.7500
Zn4 Zn 0.5000 0.5000 0.5000
Si1 Si 0.2477 0.7500 0.1250
Si2 Si 0.2500 0.2477 0.8750
Si3 Si 0.2500 0.2523 0.3750
Si4 Si 0.2523 0.7500 0.6250
Si5 Si 0.7477 0.2500 0.6250
Si6 Si 0.7500 0.7477 0.3750
Si7 Si 0.7500 0.7523 0.8750
Si8 Si 0.7523 0.2500 0.1250
Ag1 Ag 0.0000 0.0000 0.5000
Ag2 Ag 0.0000 0.5000 0.7500
Ag3 Ag 0.5000 0.0000 0.2500
Ag4 Ag 0.5000 0.5000 0.0000

***

8.
# Cu3As (GGA-PBEsol, optimized geometry)
# Size of the total moment   0.0 μB/f.u.
# Symmetry   No. 194
# Calculated formation energy   0.12 eV per formula unit
data_Cu3As
_chemical_formula_sum 'Cu6 As2'
_symmetry_space_group_name_H-M 'P 1'
_symmetry_Int_Tables_number 1
_symmetry_space_group_name_Hall 'P 1'
_cell_length_a 5.2603
_cell_length_b 5.2603
_cell_length_c 4.1964
_cell_angle_alpha 90.00
_cell_angle_beta 90.00
_cell_angle_gamma 120.00
loop_
_atom_site_label
_atom_site_type_symbol
_atom_site_fract_x
_atom_site_fract_y
_atom_site_fract_z
Cu1 Cu 0.1622 0.3244 0.2500
Cu2 Cu 0.1622 0.8378 0.2500
Cu3 Cu 0.3244 0.1622 0.7500
Cu4 Cu 0.6756 0.8378 0.2500
Cu5 Cu 0.8378 0.1622 0.7500
Cu6 Cu 0.8378 0.6756 0.7500
As1 As 0.3333 0.6667 0.7500
As2 As 0.6667 0.3333 0.2500

***

9.
# K2SiP2 (GGA-PBEsol, optimized geometry)
# Final energy   -4.40 eV per atom
# Size of the total moment   0.0 μB/f.u.
# Symmetry   No. 72
data_K2SiP2
_chemical_formula_sum 'K4 Si2 P4'
_symmetry_space_group_name_H-M 'P 1'
_symmetry_Int_Tables_number 1
_symmetry_space_group_name_Hall 'P 1'
_cell_length_a 7.8758
_cell_length_b 7.8758
_cell_length_c 7.8758
_cell_angle_alpha 128.93
_cell_angle_beta 70.66
_cell_angle_gamma 134.65
loop_
_atom_site_label
_atom_site_type_symbol
_atom_site_fract_x
_atom_site_fract_y
_atom_site_fract_z
K1 K 0.1457 0.1619 0.3076
K2 K 0.3543 0.6619 0.0162
K3 K 0.6457 0.3381 0.9838
K4 K 0.8543 0.8381 0.6924
Si1 Si 0.2500 0.7500 0.5000
Si2 Si 0.7500 0.2500 0.5000
P1 P 0.0979 0.6662 0.7641
P2 P 0.4021 0.1662 0.5683
P3 P 0.5979 0.8338 0.4317
P4 P 0.9021 0.3338 0.2359

***

10.
# La2HgP (GGA-PBEsol, optimized geometry)
# Size of the total moment   0.0 μB/f.u.
# Symmetry   No. 10
# Calculated formation energy   -3.69 eV per formula unit
# Polymorph energy (0 for the lowest one)   56 meV per atom
data_La2HgP
_chemical_formula_sum 'La2 Hg1 P1'
_symmetry_space_group_name_H-M 'P 1'
_symmetry_Int_Tables_number 1
_symmetry_space_group_name_Hall 'P 1'
_cell_length_a 3.7399
_cell_length_b 3.7402
_cell_length_c 7.2113
_cell_angle_alpha 90.00
_cell_angle_beta 90.19
_cell_angle_gamma 90.00
loop_
_atom_site_label
_atom_site_type_symbol
_atom_site_fract_x
_atom_site_fract_y
_atom_site_fract_z
La1 La 0.0029 0.0000 0.2809
La2 La 0.9971 0.0000 0.7191
Hg1 Hg 0.5000 0.5000 0.0000
P1 P 0.5000 0.5000 0.5000

***

11.
# LaHgAs4 (GGA-PBEsol, optimized geometry)
# Size of the total moment   0.0 μB/f.u.
# Symmetry   No. 216
# Calculated formation energy   -2.08 eV per formula unit
data_LaHgAs4
_chemical_formula_sum 'La1 Hg1 As4'
_symmetry_space_group_name_H-M 'P 1'
_symmetry_Int_Tables_number 1
_symmetry_space_group_name_Hall 'P 1'
_cell_length_a 5.6733
_cell_length_b 5.6733
_cell_length_c 5.6733
_cell_angle_alpha 60.00
_cell_angle_beta 60.00
_cell_angle_gamma 60.00
loop_
_atom_site_label
_atom_site_type_symbol
_atom_site_fract_x
_atom_site_fract_y
_atom_site_fract_z
La1 La 0.0000 0.0000 0.0000
Hg1 Hg 0.7500 0.7500 0.7500
As1 As 0.3783 0.3783 0.3783
As2 As 0.3783 0.3783 0.8651
As3 As 0.3783 0.8651 0.3783
As4 As 0.8651 0.3783 0.3783

***

12.
# Cr4P3O12 (GGA-PBEsol, optimized geometry)
# Final energy   -8.27 eV per atom
# Size of the total moment   14.9 μB/f.u.
# Symmetry   No. 15
data_Cr4P3O12
_chemical_formula_sum 'Cr8 P6 O24'
_symmetry_space_group_name_H-M 'P 1'
_symmetry_Int_Tables_number 1
_symmetry_space_group_name_Hall 'P 1'
_cell_length_a 8.6617
_cell_length_b 8.6617
_cell_length_c 6.6318
_cell_angle_alpha 108.37
_cell_angle_beta 108.37
_cell_angle_gamma 91.17
loop_
_atom_site_label
_atom_site_type_symbol
_atom_site_fract_x
_atom_site_fract_y
_atom_site_fract_z
Cr1 Cr 0.0024 0.9976 0.7500
Cr2 Cr 0.1214 0.4356 0.3651
Cr3 Cr 0.2452 0.7548 0.2500
Cr4 Cr 0.4356 0.1214 0.8651
Cr5 Cr 0.5644 0.8786 0.1349
Cr6 Cr 0.7548 0.2452 0.7500
Cr7 Cr 0.8786 0.5644 0.6349
Cr8 Cr 0.9976 0.0024 0.2500
P1 P 0.1481 0.3750 0.8715
P2 P 0.2193 0.7807 0.7500
P3 P 0.3750 0.1481 0.3715
P4 P 0.6250 0.8519 0.6285
P5 P 0.7807 0.2193 0.2500
P6 P 0.8519 0.6250 0.1285
O1 O 0.0039 0.2377 0.8213
O2 O 0.0357 0.7696 0.7475
O3 O 0.0879 0.4583 0.6878
O4 O 0.1736 0.5034 0.1085
O5 O 0.2304 0.9643 0.7525
O6 O 0.2377 0.0039 0.3213
O7 O 0.2431 0.6682 0.5349
O8 O 0.2991 0.3018 0.3612
O9 O 0.3018 0.2991 0.8612
O10 O 0.3318 0.7569 0.9651
O11 O 0.4583 0.0879 0.1878
O12 O 0.4966 0.8264 0.3915
O13 O 0.5034 0.1736 0.6085
O14 O 0.5417 0.9121 0.8122
O15 O 0.6682 0.2431 0.0349
O16 O 0.6982 0.7009 0.1388
O17 O 0.7009 0.6982 0.6388
O18 O 0.7569 0.3318 0.4651
O19 O 0.7623 0.9961 0.6787
O20 O 0.7696 0.0357 0.2475
O21 O 0.8264 0.4966 0.8915
O22 O 0.9121 0.5417 0.3122
O23 O 0.9643 0.2304 0.2525
O24 O 0.9961 0.7623 0.1787